# PBE+U Pr2W2O9, optimized geometry
# DFT total energy = -7.92 eV per atom
# Symmetry = No. 14
# Density = 7.47 g/cm3
data_Pr2W2O9
_space_group_name_H-M_alt 'P 1'
_space_group_IT_number 1
_cell_length_a 7.823
_cell_length_b 10.069
_cell_length_c 9.397
_cell_angle_alpha 90.00
_cell_angle_beta 107.59
_cell_angle_gamma 90.00
loop_
_space_group_symop_operation_xyz
'x,y,z'
loop_
_atom_site_label
_atom_site_type_symbol
_atom_site_fract_x
_atom_site_fract_y
_atom_site_fract_z
_atom_site_occupancy
Pr1 Pr 0.213 0.052 0.425 1
Pr2 Pr 0.213 0.448 0.925 1
Pr3 Pr 0.273 0.054 0.849 1
Pr4 Pr 0.273 0.446 0.349 1
Pr5 Pr 0.727 0.554 0.651 1
Pr6 Pr 0.727 0.946 0.151 1
Pr7 Pr 0.787 0.552 0.075 1
Pr8 Pr 0.787 0.948 0.575 1
W1 W 0.081 0.732 0.467 1
W2 W 0.081 0.768 0.967 1
W3 W 0.429 0.749 0.761 1
W4 W 0.429 0.751 0.261 1
W5 W 0.571 0.249 0.739 1
W6 W 0.571 0.251 0.239 1
W7 W 0.919 0.232 0.033 1
W8 W 0.919 0.268 0.533 1
O1 O 0.003 0.600 0.326 1
O2 O 0.003 0.900 0.826 1
O3 O 0.052 0.104 0.609 1
O4 O 0.052 0.396 0.109 1
O5 O 0.087 0.209 0.930 1
O6 O 0.087 0.291 0.430 1
O7 O 0.236 0.635 0.138 1
O8 O 0.236 0.865 0.638 1
O9 O 0.246 0.686 0.861 1
O10 O 0.246 0.814 0.361 1
O11 O 0.276 0.624 0.582 1
O12 O 0.276 0.876 0.082 1
O13 O 0.399 0.218 0.339 1
O14 O 0.399 0.282 0.839 1
O15 O 0.442 0.094 0.655 1
O16 O 0.442 0.406 0.155 1
O17 O 0.493 0.119 0.098 1
O18 O 0.493 0.381 0.598 1
O19 O 0.507 0.619 0.402 1
O20 O 0.507 0.881 0.902 1
O21 O 0.558 0.594 0.845 1
O22 O 0.558 0.906 0.345 1
O23 O 0.601 0.718 0.161 1
O24 O 0.601 0.782 0.661 1
O25 O 0.724 0.124 0.918 1
O26 O 0.724 0.376 0.418 1
O27 O 0.754 0.186 0.639 1
O28 O 0.754 0.314 0.139 1
O29 O 0.764 0.135 0.362 1
O30 O 0.764 0.365 0.862 1
O31 O 0.913 0.709 0.570 1
O32 O 0.913 0.791 0.070 1
O33 O 0.948 0.604 0.891 1
O34 O 0.948 0.896 0.391 1
O35 O 0.997 0.100 0.174 1
O36 O 0.997 0.400 0.674 1